Run i
BaCaTa2 | Alexandria | SCAN | single point on PBEsol structure; density of states at the Fermi level = 1.0624 states/eV per atom
1.0
5.559 -1.519 0.000
5.559 1.519 0.000
-0.387 0.000 6.327
Ba Ca Ta
1 1 2
Direct
0.000 0.000 0.000
0.500 0.500 0.500
0.244 0.244 0.677
0.756 0.756 0.323

Run ii
BaCaTa2 | Alexandria | SCAN | single point on PBEsol structure; density of states at the Fermi level = 1.0352 states/eV per atom
1.0
-1.665 2.960 5.635
1.665 -2.960 5.635
1.665 2.960 -5.635
Ba Ca Ta
1 1 2
Direct
0.000 0.000 0.000
0.298 0.798 0.500
0.564 0.564 0.000
0.734 0.234 0.500

Sorted by energy, starting with the most stable: run ii, run i.

Run i
BaCa2Tc | Alexandria | SCAN | single point on PBEsol structure; density of states at the Fermi level = 0.8611 states/eV per atom
1.0
4.816 0.000 0.000
0.000 4.816 0.000
0.000 0.000 4.963
Ba Ca Tc
1 2 1
Direct
0.000 0.000 0.000
0.000 0.500 0.500
0.500 0.000 0.500
0.500 0.500 0.000

Run ii
BaCa2Tc | Alexandria | SCAN | single point on PBEsol structure; density of states at the Fermi level = 0.7267 states/eV per atom
1.0
1.821 1.051 11.004
-1.821 1.051 11.004
0.000 -2.103 11.004
Ba Ca Tc
1 2 1
Direct
0.000 0.000 0.000
0.228 0.228 0.228
0.459 0.459 0.459
0.731 0.731 0.731

Sorted by energy, starting with the most stable: run ii, run i.